Record 1
Compound: Ga3Pb
Source: Alexandria via LeMat-Bulk
Functional: PBE-GGA
Structure: relaxed

```
Ga3Pb
1.0
-2.8887 -2.9454 1.8164
1.9924 0.5190 4.0101
-2.8294 3.3726 0.9692
Pb Ga
1 3
Direct
0.0000 0.0000 0.0000
0.0000 0.5000 0.5000
0.5000 0.0000 0.5000
0.5000 0.5000 0.0000
```

Summary:
The calculated volume is 91.6 Å³ per cell. The calculation puts the total energy at -3.093 eV/atom. The calculation puts the total moment at 0.000 μB/cell.


Record 2
Compound: La5SmS8
Source: Alexandria via LeMat-Bulk
Functional: PBE-GGA
Structure: relaxed

```
La5SmS8
1.0
-4.9947 0.9464 -5.5636
1.1459 -7.3518 1.1977
-2.6707 3.1573 6.3005
La Sm S
5 1 8
Direct
0.5066 0.1256 0.8827
0.7500 0.2500 0.5000
0.2429 0.6239 0.1173
0.3761 0.4934 0.6190
0.8744 0.7571 0.3810
0.0000 0.0000 0.0000
0.6271 0.8745 0.0982
0.6289 0.8793 0.6073
0.9785 0.3711 0.2504
0.2719 0.0215 0.3927
0.4711 0.3729 0.2474
0.1255 0.2237 0.7526
0.7763 0.5289 0.9018
0.1207 0.7281 0.7496
```

Summary:
Its uncorrected formation energy is -2142 meV/atom. The calculated volume is 329.5 Å³ per cell. The calculation puts the total moment at 0.000 μB/cell.


Record 3
Compound: KSe5
Source: Alexandria via LeMat-Bulk
Functional: PBE-GGA
Structure: relaxed

```
KSe5
1.0
-6.8517 -2.1010 -0.3220
4.9033 -3.0959 -4.2234
0.6582 -2.5501 2.6335
K Se
1 5
Direct
0.0000 0.0000 0.0000
0.3333 0.6667 0.0000
0.6667 0.3333 0.0000
0.5000 0.0000 0.5000
0.0000 0.5000 0.5000
0.5000 0.5000 0.5000
```

Summary:
Its uncorrected formation energy is -106 meV/atom. The calculated volume is 166.0 Å³ per cell. For the energy above the most stable polymorph in this dataset, the calculation gives 165 meV per atom. The calculation puts the total moment at 0.000 μB/cell.


Record 4
Compound: Na2NbSbO6
Source: Alexandria via LeMat-Bulk
Functional: PBE-GGA
Structure: relaxed

```
Na2NbSbO6
1.0
4.0081 0.0000 0.0000
0.0000 5.6166 0.0000
0.0000 0.0000 5.6166
Na Nb Sb O
2 1 1 6
Direct
0.1234 0.5000 0.0000
0.1234 0.0000 0.5000
0.6254 0.5000 0.5000
0.6491 0.0000 0.0000
0.6558 0.2491 0.2491
0.6558 0.2491 0.7509
0.1513 0.5000 0.5000
0.1510 0.0000 0.0000
0.6558 0.7509 0.7509
0.6558 0.7509 0.2491
```

Summary:
Its uncorrected formation energy is -1960 meV/atom. The calculated volume is 126.4 Å³ per cell. The calculation puts the total moment at 0.000 μB/cell.


Record 5
Compound: KAl2B
Source: Alexandria via LeMat-Bulk
Functional: PBE-GGA
Structure: relaxed

```
KAl2B
1.0
6.6668 0.0000 0.0000
0.0000 6.6668 0.0000
3.3334 3.3334 4.7726
K B Al
2 2 4
Direct
0.0000 0.0000 0.0000
0.7500 0.2500 0.5000
0.5000 0.5000 0.0000
0.2500 0.7500 0.5000
0.3762 0.1250 0.2500
0.3738 0.6250 0.2500
0.3750 0.6238 0.7500
0.8750 0.6262 0.7500
```

Summary:
The calculated volume is 212.1 Å³ per cell. For the energy above the most stable polymorph in this dataset, the calculation gives 0 meV per atom. The calculation puts the total moment at 0.000 μB/cell.


Record 6
Compound: LiYBeGe2
Source: Alexandria via LeMat-Bulk
Functional: PBE-GGA
Structure: relaxed

```
LiYBeGe2
1.0
4.0175 0.0000 0.0000
0.0000 4.0175 0.0000
-2.0087 -2.0087 5.1836
Li Y Be Ge
1 1 1 2
Direct
0.2500 0.7500 0.5000
0.0000 0.0000 0.0000
0.7500 0.2500 0.5000
0.6209 0.6209 0.2418
0.3791 0.3791 0.7582
```

Summary:
The calculated volume is 83.7 Å³ per cell. The calculation puts the total energy at -4.709 eV/atom. The calculation puts the total moment at 0.000 μB/cell.


Record 7
Compound: Ca2TcBiRh
Source: Alexandria via LeMat-Bulk
Functional: PBE-GGA
Structure: relaxed

```
Ca2TcBiRh
1.0
5.3918 0.0000 0.0000
0.0000 4.7313 0.0000
0.0000 0.0000 5.3918
Ca Rh Bi Tc
2 1 1 1
Direct
0.0000 0.0000 0.5000
0.5000 0.0000 0.0000
0.0000 0.0000 0.0000
0.5000 0.5000 0.5000
0.0000 0.5000 0.0000
```

Summary:
The calculated volume is 137.5 Å³ per cell. The calculation puts the total energy at -4.914 eV/atom. The calculation puts the total moment at 1.528 μB/cell.


Record 8
Compound: AlCd3Re
Source: Alexandria via LeMat-Bulk
Functional: PBE-GGA
Structure: relaxed

```
AlCd3Re
1.0
5.2485 0.0000 0.0000
0.0000 5.2485 0.0000
0.0000 0.0000 5.2485
Re Al Cd
1 1 3
Direct
0.0000 0.0000 0.0000
0.5000 0.5000 0.5000
0.0000 0.5000 0.0000
0.0000 0.0000 0.5000
0.5000 0.0000 0.0000
```

Summary:
The calculated volume is 144.6 Å³ per cell. For the energy above the most stable polymorph in this dataset, the calculation gives 0 meV per atom. The calculation puts the total moment at 0.000 μB/cell.


Record 9
Compound: CsSn2Se
Source: Alexandria via LeMat-Bulk
Functional: PBE-GGA
Structure: relaxed

```
CsSn2Se
1.0
5.3179 0.0000 0.0000
0.0000 5.3179 0.0000
2.6589 2.6589 10.8513
Cs Sn Se
2 4 2
Direct
0.0000 0.0000 0.0000
0.7500 0.2500 0.5000
0.4935 0.1250 0.2500
0.2565 0.6250 0.2500
0.3750 0.5065 0.7500
0.8750 0.7435 0.7500
0.5000 0.5000 0.0000
0.2500 0.7500 0.5000
```

Summary:
Its uncorrected formation energy is -271 meV/atom. The calculated volume is 306.9 Å³ per cell. The calculation puts the total moment at 0.000 μB/cell.


Record 10
Compound: Pa2SnO6
Source: Alexandria via LeMat-Bulk
Functional: PBE-GGA
Structure: relaxed

```
Pa2SnO6
1.0
4.1306 0.0000 1.1976
1.6944 5.6598 1.8779
0.1827 0.3462 7.0919
Pa Sn O
2 1 6
Direct
0.8223 0.7381 0.6173
0.1777 0.2619 0.3827
0.0000 0.0000 0.0000
0.2858 0.8552 0.5732
0.7142 0.1448 0.4268
0.6548 0.7971 0.8933
0.9926 0.3381 0.6767
0.3452 0.2029 0.1067
0.0074 0.6619 0.3233
```

Summary:
Its uncorrected formation energy is -2940 meV/atom. The calculated volume is 162.6 Å³ per cell. The calculation puts the total moment at 0.000 μB/cell.


Record 11
Compound: Cs2TiNb3O12
Source: Alexandria via LeMat-Bulk
Functional: PBE-GGA
Structure: relaxed

```
Cs2TiNb3O12
1.0
-0.5529 5.8989 -4.5936
-4.8181 5.5106 1.6196
2.6152 6.6687 2.2121
Cs Ti Nb O
2 1 3 12
Direct
0.6260 0.6260 0.6260
0.3740 0.3740 0.3740
0.0000 0.0000 0.0000
0.5000 0.0000 0.0000
0.0000 0.5000 0.0000
0.0000 0.0000 0.5000
0.3141 0.3141 0.9394
0.9410 0.9410 0.3049
0.3049 0.9410 0.9410
0.9394 0.3141 0.3141
0.9410 0.3049 0.9410
0.3141 0.9394 0.3141
0.6859 0.6859 0.0606
0.0590 0.0590 0.6951
0.6951 0.0590 0.0590
0.0606 0.6859 0.6859
0.0590 0.6951 0.0590
0.6859 0.0606 0.6859
```

Summary:
Its uncorrected formation energy is -2203 meV/atom. The calculated volume is 300.9 Å³ per cell. The calculation puts the total moment at 3.076 μB/cell.


Record 12
Compound: CoMoRu
Source: Alexandria via LeMat-Bulk
Functional: PBE-GGA
Structure: relaxed

```
CoMoRu
1.0
-2.5365 -3.0104 1.4594
3.3776 1.1534 2.2108
-1.4622 1.8476 1.2700
Co Mo Ru
1 1 1
Direct
0.0000 0.0000 0.1664
0.3333 0.6667 0.1670
0.6667 0.3333 0.6666
```

Summary:
The calculated volume is 40.9 Å³ per cell. For the energy above the most stable polymorph in this dataset, the calculation gives 30 meV per atom. The calculation puts the total moment at 0.807 μB/cell.


Number 1: DOS(E_F) 0.560 states/eV/atom. Number 2: DOS(E_F) 0.759 states/eV/atom. Number 3: DOS(E_F) 0.284 states/eV/atom. Number 4: DOS(E_F) 0.000 states/eV/atom. Number 5: DOS(E_F) 1.135 states/eV/atom. Number 6: DOS(E_F) 0.481 states/eV/atom. Number 7: DOS(E_F) 0.963 states/eV/atom. Number 8: DOS(E_F) 0.981 states/eV/atom. Number 9: DOS(E_F) 0.585 states/eV/atom. Number 10: DOS(E_F) 0.000 states/eV/atom. Number 11: DOS(E_F) 0.682 states/eV/atom. Number 12: DOS(E_F) 1.224 states/eV/atom.